Below is crystalline CdHgSO at its relaxed geometry, with properties calculated at the PBE-GGA level.

The energy above the most stable polymorph in this dataset is 283 meV/atom. For the total energy, the calculation gives -22.4 eV/cell.

abc: 3.4564 5.9160 7.0581
angles: 90.00 75.83 90.00
Sites, in units of the cell vectors:
O 0.0000 0.5000 0.0000
Hg 0.8526 0.2500 0.2947
O 0.0000 0.0000 0.0000
S 0.2105 0.2500 0.5790
S 0.7895 0.7500 0.4210
Hg 0.1474 0.7500 0.7053
Cd 0.5612 0.2500 0.8777
Cd 0.4388 0.7500 0.1223

***

Below is crystalline LiGdTe3Pd at its relaxed geometry, with properties calculated at the PBE-GGA level.

The total moment is 0.00 μB/f.u. For the total energy, the calculation gives -52.9 eV/cell.

abc: 8.0476 8.0476 10.1246
angles: 90.00 90.00 149.47
Sites, in units of the cell vectors:
Te 0.6355 0.3645 0.0915
Li 0.2322 0.7678 0.2500
Te 0.8841 0.1159 0.2500
Te 0.1159 0.8841 0.7500
Te 0.3645 0.6355 0.9085
Gd 0.0000 0.0000 0.5000
Pd 0.4976 0.5024 0.2500
Li 0.7678 0.2322 0.7500
Te 0.3645 0.6355 0.5915
Pd 0.5024 0.4976 0.7500
Gd 0.0000 0.0000 0.0000
Te 0.6355 0.3645 0.4085

***

Below is crystalline Cd4Sn3Bi2 at its relaxed geometry, with properties calculated at the PBE-GGA level.

For the total energy, the calculation gives -22.8 eV/cell.

abc: 8.3646 8.3646 4.0600
angles: 90.00 90.00 120.00
Sites, in units of the cell vectors:
Sn 0.9808 0.5886 0.0000
Sn 0.4114 0.3922 0.0000
Sn 0.6078 0.0192 0.0000
Cd 0.2917 0.0168 0.5000
Bi 0.3333 0.6667 0.5000
Bi 0.0000 0.0000 0.0000
Cd 0.7251 0.7083 0.5000
Cd 0.9832 0.2749 0.5000
Cd 0.6667 0.3333 0.5000

***

Below is crystalline LaAl2PtAu at its relaxed geometry, with properties calculated at the PBE-GGA level.

The total moment is 0.00 μB/f.u. For the total energy, the calculation gives -53.1 eV/cell.

abc: 4.4340 4.4340 10.4085
angles: 90.00 90.00 90.00
Sites, in units of the cell vectors:
Pt 0.0000 0.5000 0.6247
Au 0.0000 0.0000 0.0000
Al 0.5000 0.0000 0.1372
Al 0.0000 0.5000 0.8628
Al 0.5000 0.5000 0.5000
Pt 0.5000 0.0000 0.3753
La 0.5000 0.0000 0.7439
Al 0.0000 0.0000 0.5000
Au 0.5000 0.5000 0.0000
La 0.0000 0.5000 0.2561